An optimized crystal structure of NiHIrPd2, computed with PBE-GGA.

POSCAR file:
```
NiHIrPd2
1.0
3.9051 0.0000 0.0000
0.0000 3.9051 0.0000
0.0000 0.0000 3.8683
Ni H Ir Pd
1 1 1 2
direct
0.0000 0.0000 0.0000
0.0000 0.0000 0.5000
0.5000 0.5000 0.0000
0.0000 0.5000 0.5000
0.5000 0.0000 0.5000
```

Results
- magnetization (μB/cell) = 0.00
- relative energy among the computed polymorphs (eV/atom) = 0.009

An optimized crystal structure of NiHIrPd2, computed with PBE-GGA.

POSCAR file:
```
NiHIrPd2
1.0
3.9518 0.0000 0.0000
0.0000 3.9518 0.0000
0.0000 0.0000 3.8447
Ni H Ir Pd
1 1 1 2
direct
0.0000 0.0000 0.0000
0.5000 0.5000 0.5000
0.5000 0.5000 0.0000
0.0000 0.5000 0.5000
0.5000 0.0000 0.5000
```

Results
- magnetization (μB/cell) = 1.38
- relative energy among the computed polymorphs (eV/atom) = 0.000

An optimized crystal structure of NiHIr2Pd, computed with PBE-GGA.

POSCAR file:
```
NiHIr2Pd
1.0
3.8942 0.0000 0.0000
0.0000 3.8942 0.0000
0.0000 0.0000 3.8414
Ni H Ir Pd
1 1 2 1
direct
0.0000 0.0000 0.0000
0.0000 0.0000 0.5000
0.0000 0.5000 0.5000
0.5000 0.0000 0.5000
0.5000 0.5000 0.0000
```

Results
- magnetization (μB/cell) = 0.01
- uncorrected energy (eV/atom) = -6.23

An optimized crystal structure of Pm2NiHIr, computed with PBE-GGA.

POSCAR file:
```
Pm2NiHIr
1.0
5.8815 0.0000 0.0000
0.0000 4.2198 0.0000
-2.9121 0.0000 7.4689
Pm Ni H Ir
4 2 2 2
direct
0.2038 0.2500 0.4319
0.2819 0.7500 0.0675
0.7181 0.2500 0.9325
0.7962 0.7500 0.5681
0.3565 0.7500 0.7123
0.6435 0.2500 0.2877
0.3860 0.7500 0.5204
0.6140 0.2500 0.4796
0.1607 0.2500 0.7957
0.8393 0.7500 0.2043
```

Results
- magnetization (μB/cell) = 0.00
- uncorrected energy (eV/atom) = -6.04

An optimized crystal structure of PmNiH6Ir, computed with PBE-GGA.

POSCAR file:
```
PmNiH6Ir
1.0
4.6453 0.0000 0.0000
-2.3226 4.0229 0.0000
0.0000 0.0000 4.2074
Pm Ni H Ir
1 1 6 1
direct
0.0000 0.0000 0.0000
0.3333 0.6667 0.5000
0.0038 0.5019 0.2428
0.0038 0.5019 0.7572
0.4981 0.5019 0.2428
0.4981 0.5019 0.7572
0.4981 0.9962 0.2428
0.4981 0.9962 0.7572
0.6667 0.3333 0.5000
```

Results
- magnetization (μB/cell) = 0.00
- uncorrected energy (eV/atom) = -4.72

An optimized crystal structure of PmNi2H8Ir, computed with PBE-GGA.

POSCAR file:
```
PmNi2H8Ir
1.0
2.2682 1.3095 5.5256
-2.2682 1.3095 5.5256
0.0000 -2.6191 5.5256
Pm Ni H Ir
1 2 8 1
direct
0.0000 0.0000 0.0000
0.2206 0.2206 0.2206
0.7794 0.7794 0.7794
0.1387 0.4154 0.7831
0.2169 0.8613 0.5846
0.3140 0.3140 0.3140
0.4154 0.7831 0.1387
0.5846 0.2169 0.8613
0.6860 0.6860 0.6860
0.7831 0.1387 0.4154
0.8613 0.5846 0.2169
0.5000 0.5000 0.5000
```

Results
- magnetization (μB/cell) = 0.00
- uncorrected energy (eV/atom) = -4.51

An optimized crystal structure of PmNiH8Ir2, computed with PBE-GGA.

POSCAR file:
```
PmNiH8Ir2
1.0
2.3508 1.3572 5.2284
-2.3508 1.3572 5.2284
0.0000 -2.7144 5.2284
Pm Ni H Ir
1 1 8 2
direct
0.0000 0.0000 0.0000
0.5000 0.5000 0.5000
0.1430 0.5592 0.5592
0.3171 0.3171 0.3171
0.4408 0.4408 0.8570
0.4408 0.8570 0.4408
0.5592 0.1430 0.5592
0.5592 0.5592 0.1430
0.6829 0.6829 0.6829
0.8570 0.4408 0.4408
0.2142 0.2142 0.2142
0.7858 0.7858 0.7858
```

Results
- magnetization (μB/cell) = 0.00
- uncorrected energy (eV/atom) = -4.77

An optimized crystal structure of Pr2NiH6Ir, computed with PBE-GGA.

POSCAR file:
```
Pr2NiH6Ir
1.0
-2.5331 2.5331 4.0841
2.5331 -2.5331 4.0841
2.5331 2.5331 -4.0841
Pr Ni H Ir
2 1 6 1
direct
0.2500 0.7500 0.5000
0.7500 0.2500 0.5000
0.0000 0.0000 0.0000
0.2024 0.2024 0.0000
0.2535 0.2535 0.5069
0.2535 0.7465 0.0000
0.7465 0.2535 0.0000
0.7465 0.7465 0.4931
0.7976 0.7976 0.0000
0.5000 0.5000 0.0000
```

Results
- magnetization (μB/cell) = 0.00
- uncorrected energy (eV/atom) = -4.88